Below is a relaxed CrRe2AgF crystal, with properties calculated at the PBE with a Hubbard U level.

a = 4.6340 Å, b = 4.6340 Å, c = 3.6832 Å
α = 90.00°, β = 90.00°, γ = 90.00°
Closest atoms and distances in Å follow each position.
Space group P4/mmm (No. 123)
One atom of each set of equivalent atoms:
Cr1 0.0000 0.0000 0.0000 (multiplicity 1)  2 F 1.84
Re1 0.0000 0.5000 0.0000 (multiplicity 2)  2 Cr 2.32
Ag1 0.5000 0.5000 0.5000 (multiplicity 1)  8 Re 2.96, 4 F 3.28
F1 0.0000 0.0000 0.5000 (multiplicity 1)  2 Cr 1.84

Computed properties:
As for the mass density: 11.57 Mg/m³. For the relative energy among the computed polymorphs, the calculation gives 0 meV/atom. The calculation puts the total DFT energy (no corrections) at -6.01 eV/atom.

***

Below is a relaxed CrAgRhF6 crystal, with properties calculated at the PBE with a Hubbard U level.

a = 5.0287 Å, b = 5.0287 Å, c = 10.0800 Å
α = 90.00°, β = 90.00°, γ = 90.00°
Closest atoms and distances in Å follow each position.
Space group P4_2nm (No. 102)
One atom of each set of equivalent atoms:
Cr1 0.0000 0.0000 0.0000 (multiplicity 2)  6 F 1.95-2.06
Ag1 0.0000 0.0000 0.6674 (multiplicity 2)  6 F 2.33-2.42
Rh1 0.0000 0.0000 0.3429 (multiplicity 2)  6 F 2.08-2.29
F1 0.1729 0.1729 0.1515 (multiplicity 4)  1 Cr 1.96
F2 0.2079 0.2079 0.8574 (multiplicity 4)  1 Cr 2.06, 1 Rh 2.08
F3 0.2266 0.2266 0.4887 (multiplicity 4)  1 Cr 1.95

Computed properties:
As for the mass density: 4.91 Mg/m³. The calculation puts the total DFT energy (no corrections) at -4.95 eV/atom.

***

Below is a relaxed CrAgRuF2 crystal, with properties calculated at the PBE with a Hubbard U level.

a = 4.0332 Å, b = 4.0332 Å, c = 5.4608 Å
α = 90.00°, β = 90.00°, γ = 90.00°
Closest atoms and distances in Å follow each position.
Space group P4/mmm (No. 123)
One atom of each set of equivalent atoms:
Cr1 0.0000 0.0000 0.0000 (multiplicity 1)  2 Ru 2.73, 4 Ag 2.85
Ag1 0.5000 0.5000 0.0000 (multiplicity 1)  4 Cr 2.85
Ru1 0.0000 0.0000 0.5000 (multiplicity 1)  4 F 2.02
F1 0.0000 0.5000 0.5000 (multiplicity 2)  2 Ru 2.02

Computed properties:
As for the mass density: 5.59 Mg/m³. For the relative energy among the computed polymorphs, the calculation gives 0 meV/atom. The calculation puts the total DFT energy (no corrections) at -4.92 eV/atom.

***

Below is a relaxed CrAgRuF2 crystal, with properties calculated at the PBE with a Hubbard U level.

a = 3.8010 Å, b = 3.8010 Å, c = 5.8345 Å
α = 90.00°, β = 90.00°, γ = 90.00°
Closest atoms and distances in Å follow each position.
Space group P4/mmm (No. 123)
One atom of each set of equivalent atoms:
Cr1 0.0000 0.0000 0.0000 (multiplicity 1)  4 F 1.90
Ag1 0.0000 0.0000 0.5000 (multiplicity 1)  4 Ru 2.69, 2 Cr 2.92
Ru1 0.5000 0.5000 0.5000 (multiplicity 1)  4 Ag 2.69
F1 0.0000 0.5000 0.0000 (multiplicity 2)  2 Cr 1.90

Computed properties:
As for the mass density: 5.89 Mg/m³. For the relative energy among the computed polymorphs, the calculation gives 627 meV/atom. The calculation puts the total DFT energy (no corrections) at -4.29 eV/atom.

***

Below is a relaxed ScCrAgF6 crystal, with properties calculated at the PBE with a Hubbard U level.

a = 5.6364 Å, b = 5.6364 Å, c = 10.1499 Å
α = 90.00°, β = 90.00°, γ = 120.00°
Closest atoms and distances in Å follow each position.
Space group P-31c (No. 163)
One atom of each set of equivalent atoms:
Sc1 0.3333 0.6667 0.2500 (multiplicity 2)  6 F 2.05
Cr1 0.3333 0.6667 0.7500 (multiplicity 2)  6 F 2.14
Ag1 0.0000 0.0000 0.0000 (multiplicity 2)  6 F 2.53
F1 0.0116 0.3743 0.1430 (multiplicity 12)  1 Sc 2.05, 1 Cr 2.14

Computed properties:
As for the mass density: 3.79 Mg/m³. The calculation puts the total DFT energy (no corrections) at -5.82 eV/atom.

***

Below is a relaxed CrAgSeF2 crystal, with properties calculated at the PBE with a Hubbard U level.

a = 3.9148 Å, b = 3.9148 Å, c = 5.5728 Å
α = 90.00°, β = 90.00°, γ = 90.00°
Closest atoms and distances in Å follow each position.
Space group P4/mmm (No. 123)
One atom of each set of equivalent atoms:
Cr1 0.0000 0.0000 0.0000 (multiplicity 1)  4 F 1.96
Ag1 0.5000 0.5000 0.5000 (multiplicity 1)  4 Se 2.77
Se1 0.0000 0.0000 0.5000 (multiplicity 1)  4 Ag 2.77, 2 Cr 2.79
F1 0.0000 0.5000 0.0000 (multiplicity 2)  2 Cr 1.96

Computed properties:
As for the mass density: 5.38 Mg/m³. The calculation puts the total DFT energy (no corrections) at -5.02 eV/atom.

***

- Among the records above, which one has the lowest total DFT energy (no corrections)?
  CrRe2AgF

***

Repeat the fifth record exactly.
Below is a relaxed ScCrAgF6 crystal, with properties calculated at the PBE with a Hubbard U level.

a = 5.6364 Å, b = 5.6364 Å, c = 10.1499 Å
α = 90.00°, β = 90.00°, γ = 120.00°
Closest atoms and distances in Å follow each position.
Space group P-31c (No. 163)
One atom of each set of equivalent atoms:
Sc1 0.3333 0.6667 0.2500 (multiplicity 2)  6 F 2.05
Cr1 0.3333 0.6667 0.7500 (multiplicity 2)  6 F 2.14
Ag1 0.0000 0.0000 0.0000 (multiplicity 2)  6 F 2.53
F1 0.0116 0.3743 0.1430 (multiplicity 12)  1 Sc 2.05, 1 Cr 2.14

Computed properties:
As for the mass density: 3.79 Mg/m³. The calculation puts the total DFT energy (no corrections) at -5.82 eV/atom.